This record from Alexandria describes an optimized crystal structure of CoNi2Mo. The functional is GGA-PBEsol.

Structure (POSCAR):
```
CoNi2Mo
1.0
8.4622 0.0000 0.0000
0.0000 2.5429 0.0000
-0.8003 0.0000 4.2677
Co Ni Mo
2 4 2
Cartesian
0.0000 0.0000 0.0000
4.2311 1.2714 0.0000
1.8729 1.2714 1.0370
1.5579 0.0000 3.2307
6.1039 0.0000 1.0370
5.7890 1.2714 3.2307
-0.4002 1.2714 2.1339
3.8309 0.0000 2.1339
```

Output
The density comes out at 9.85 g/cm3. Its formation energy is 0.051 eV/atom. The energy above the lowest structure with this stoichiometry is 12.7 kJ per mole of atoms. The calculated total energy comes out at -63.231 eV for the cell shown.

This record from Alexandria describes an optimized crystal structure of ZnBiF3. The functional is GGA-PBEsol.

Structure (POSCAR):
```
ZnBiF3
1.0
4.5597 0.0000 0.0000
0.0000 4.5597 0.0000
0.0000 0.0000 4.5597
Zn Bi F
1 1 3
Cartesian
0.0000 0.0000 0.0000
2.2798 2.2798 2.2798
0.0000 2.2798 2.2798
2.2798 0.0000 2.2798
2.2798 2.2798 0.0000
```

Output
The density comes out at 5.80 g/cm3. The calculated total energy comes out at -19.715 eV for the cell shown.

This record from Alexandria describes an optimized crystal structure of Cd2AgRh. The functional is GGA-PBEsol.

Structure (POSCAR):
```
Cd2AgRh
1.0
3.1693 0.0000 0.0000
0.0000 4.5672 0.0000
0.0000 0.0000 9.3779
Cd Ag Rh
4 2 2
Cartesian
0.0000 0.0000 0.0000
0.0000 2.2836 2.2356
1.5846 0.0000 6.9245
1.5846 2.2836 4.6890
0.0000 0.0000 4.5495
1.5846 2.2836 9.2385
0.0000 2.2836 6.9440
1.5846 0.0000 2.2550
```

Output
The density comes out at 10.66 g/cm3. Its formation energy is -0.022 eV/atom. The energy above the lowest structure with this stoichiometry is 8.8 kJ per mole of atoms. The calculated total energy comes out at -27.863 eV for the cell shown.

This record from Alexandria describes an optimized crystal structure of ZnSi2Mo. The functional is GGA-PBEsol.

Structure (POSCAR):
```
ZnSi2Mo
1.0
6.0745 0.0000 0.0000
0.0000 6.0745 0.0000
0.0000 0.0000 6.0745
Zn Si Mo
4 8 4
Cartesian
0.0000 0.0000 0.0000
0.0000 3.0372 3.0372
3.0372 0.0000 3.0372
3.0372 3.0372 0.0000
0.0000 0.0000 3.0372
0.0000 3.0372 0.0000
1.5186 1.5186 1.5186
1.5186 4.5559 4.5559
3.0372 0.0000 0.0000
3.0372 3.0372 3.0372
4.5559 1.5186 4.5559
4.5559 4.5559 1.5186
1.5186 1.5186 4.5559
1.5186 4.5559 1.5186
4.5559 1.5186 1.5186
4.5559 4.5559 4.5559
```

Output
The density comes out at 6.45 g/cm3. The calculated total energy comes out at -92.475 eV for the cell shown.

This record from Alexandria describes an optimized crystal structure of Na2CaAs4O12. The functional is GGA-PBEsol.

Structure (POSCAR):
```
Na2CaAs4O12
1.0
9.9342 0.0000 0.0000
0.0000 9.9342 0.0000
0.0000 0.0000 5.1932
Na Ca As O
4 2 8 24
Cartesian
0.0000 0.0000 0.0000
0.0000 4.9671 0.0000
4.9671 0.0000 0.0000
4.9671 4.9671 0.0000
2.4836 2.4836 0.0000
7.4507 7.4507 0.0000
0.2067 7.4507 2.5966
2.4836 5.1738 2.5966
2.4836 9.7276 2.5966
4.7605 7.4507 2.5966
5.1738 2.4836 2.5966
7.4507 0.2067 2.5966
7.4507 4.7605 2.5966
9.7276 2.4836 2.5966
0.5767 1.7463 1.3299
0.5767 3.2208 3.8633
1.3304 6.2975 3.3943
1.3304 8.6038 1.7989
1.7463 0.5767 3.8633
1.7463 4.3904 1.3299
3.2208 0.5767 1.3299
3.2208 4.3904 3.8633
3.6367 6.2975 1.7989
3.6367 8.6038 3.3943
4.3904 1.7463 3.8633
4.3904 3.2208 1.3299
5.5439 6.7134 3.8633
5.5439 8.1879 1.3299
6.2975 1.3304 1.7989
6.2975 3.6367 3.3943
6.7134 5.5439 1.3299
6.7134 9.3575 3.8633
8.1879 5.5439 3.8633
8.1879 9.3575 1.3299
8.6038 1.3304 3.3943
8.6038 3.6367 1.7989
9.3575 6.7134 1.3299
9.3575 8.1879 3.8633
```

Output
The density comes out at 3.74 g/cm3. The calculated total energy comes out at -237.218 eV for the cell shown.

This record from Alexandria describes an optimized crystal structure of IrRhSCl2. The functional is GGA-PBEsol.

Structure (POSCAR):
```
IrRhSCl2
1.0
4.8601 0.0000 0.0000
0.0000 4.8601 0.0000
0.0000 0.0000 4.3385
Ir Rh S Cl
1 1 1 2
Cartesian
0.0000 0.0000 0.0000
2.4301 2.4301 2.1692
0.0000 0.0000 2.1692
0.0000 2.4301 0.0000
2.4301 0.0000 0.0000
```

Output
The density comes out at 6.45 g/cm3. The calculated total energy comes out at -22.219 eV for the cell shown.

This record from Alexandria describes an optimized crystal structure of CdHg2Sb. The functional is GGA-PBEsol.

Structure (POSCAR):
```
CdHg2Sb
1.0
4.1974 0.0000 0.0000
0.0000 4.1974 0.0000
0.0000 0.0000 5.8467
Cd Hg Sb
1 2 1
Cartesian
0.0000 0.0000 0.0000
0.0000 0.0000 2.9234
2.0987 2.0987 2.9234
2.0987 2.0987 0.0000
```

Output
The density comes out at 10.24 g/cm3. The energy above the lowest structure with this stoichiometry is 1.2 kJ per mole of atoms. The calculated total energy comes out at -6.706 eV for the cell shown.

This record from Alexandria describes an optimized crystal structure of NaY2Hg2. The functional is GGA-PBEsol.

Structure (POSCAR):
```
NaY2Hg2
1.0
8.3855 0.0000 0.0000
0.0000 8.3855 0.0000
0.0000 0.0000 3.7075
Na Y Hg
2 4 4
Cartesian
0.0000 0.0000 0.0000
4.1928 4.1928 0.0000
1.3342 2.8586 1.8537
2.8586 7.0514 1.8537
5.5270 1.3342 1.8537
7.0514 5.5270 1.8537
1.1497 5.3425 0.0000
3.0430 1.1497 0.0000
5.3425 7.2358 0.0000
7.2358 3.0430 0.0000
```

Output
The density comes out at 7.67 g/cm3. Its formation energy is -0.396 eV/atom. The calculated total energy comes out at -36.319 eV for the cell shown.